(1)
# Sc3TaOs4 (PBE, relaxed)
# Formation enthalpy at 0 K ... -0.45 eV/atom
# Theoretical density ... 13.559 g cm⁻³
data_Sc3TaOs4
_cell_length_a 3.198
_cell_length_b 4.545
_cell_length_c 9.073
_cell_angle_alpha 90.00
_cell_angle_beta 90.00
_cell_angle_gamma 90.00
_symmetry_space_group_name_H-M 'P 1'
_symmetry_Int_Tables_number 1
loop_
_symmetry_equiv_pos_as_xyz
'x,y,z'
loop_
_atom_site_label
_atom_site_type_symbol
_atom_site_fract_x
_atom_site_fract_y
_atom_site_fract_z
Sc1 Sc 0.000 0.000 0.000
Sc2 Sc 0.000 0.500 0.247
Sc3 Sc 0.000 0.500 0.753
Ta1 Ta 0.000 0.000 0.500
Os1 Os 0.500 0.000 0.261
Os2 Os 0.500 0.000 0.739
Os3 Os 0.500 0.500 0.000
Os4 Os 0.500 0.500 0.500

(2)
# ScTaOs4 (PBE, relaxed)
# Formation enthalpy at 0 K ... -0.14 eV/atom
# Theoretical density ... 16.633 g cm⁻³
data_ScTaOs4
_cell_length_a 5.184
_cell_length_b 5.184
_cell_length_c 5.184
_cell_angle_alpha 60.00
_cell_angle_beta 60.00
_cell_angle_gamma 60.00
_symmetry_space_group_name_H-M 'P 1'
_symmetry_Int_Tables_number 1
loop_
_symmetry_equiv_pos_as_xyz
'x,y,z'
loop_
_atom_site_label
_atom_site_type_symbol
_atom_site_fract_x
_atom_site_fract_y
_atom_site_fract_z
Sc1 Sc 0.000 0.000 0.000
Ta1 Ta 0.750 0.750 0.750
Os1 Os 0.375 0.375 0.375
Os2 Os 0.375 0.375 0.876
Os3 Os 0.375 0.876 0.375
Os4 Os 0.876 0.375 0.375

(3)
# ScTaOs2 (PBE, relaxed)
# Formation enthalpy at 0 K ... 0.26 eV/atom
# Theoretical density ... 15.052 g cm⁻³
# Energy relative to the lowest polymorph listed for this composition ... 0.793 eV/atom
data_ScTaOs2
_cell_length_a 3.127
_cell_length_b 4.681
_cell_length_c 9.140
_cell_angle_alpha 90.00
_cell_angle_beta 90.00
_cell_angle_gamma 90.00
_symmetry_space_group_name_H-M 'P 1'
_symmetry_Int_Tables_number 1
loop_
_symmetry_equiv_pos_as_xyz
'x,y,z'
loop_
_atom_site_label
_atom_site_type_symbol
_atom_site_fract_x
_atom_site_fract_y
_atom_site_fract_z
Sc1 Sc 0.000 0.000 0.000
Sc2 Sc 0.500 0.500 0.000
Ta1 Ta 0.000 0.500 0.715
Ta2 Ta 0.500 0.000 0.715
Os1 Os 0.000 0.000 0.479
Os2 Os 0.000 0.500 0.236
Os3 Os 0.500 0.000 0.236
Os4 Os 0.500 0.500 0.479

(4)
# Sc2TaOs (PBE, relaxed)
# Formation enthalpy at 0 K ... -0.17 eV/atom
# Theoretical density ... 10.365 g cm⁻³
# Energy relative to the lowest polymorph listed for this composition ... 0.053 eV/atom
data_Sc2TaOs
_cell_length_a 3.251
_cell_length_b 4.629
_cell_length_c 9.816
_cell_angle_alpha 90.00
_cell_angle_beta 90.00
_cell_angle_gamma 90.00
_symmetry_space_group_name_H-M 'P 1'
_symmetry_Int_Tables_number 1
loop_
_symmetry_equiv_pos_as_xyz
'x,y,z'
loop_
_atom_site_label
_atom_site_type_symbol
_atom_site_fract_x
_atom_site_fract_y
_atom_site_fract_z
Sc1 Sc 0.000 0.000 0.221
Sc2 Sc 0.000 0.000 0.779
Sc3 Sc 0.500 0.500 0.279
Sc4 Sc 0.500 0.500 0.721
Ta1 Ta 0.000 0.500 0.000
Ta2 Ta 0.500 0.000 0.500
Os1 Os 0.000 0.500 0.500
Os2 Os 0.500 0.000 0.000

(5)
# Sc2Ta2Os (PBE, relaxed)
# Formation enthalpy at 0 K ... 0.61 eV/atom
# Theoretical density ... 9.929 g cm⁻³
# Energy relative to the lowest polymorph listed for this composition ... 0.526 eV/atom
data_Sc2Ta2Os
_cell_length_a 3.540
_cell_length_b 3.540
_cell_length_c 17.138
_cell_angle_alpha 90.00
_cell_angle_beta 90.00
_cell_angle_gamma 90.00
_symmetry_space_group_name_H-M 'P 1'
_symmetry_Int_Tables_number 1
loop_
_symmetry_equiv_pos_as_xyz
'x,y,z'
loop_
_atom_site_label
_atom_site_type_symbol
_atom_site_fract_x
_atom_site_fract_y
_atom_site_fract_z
Sc1 Sc 0.000 0.000 0.086
Sc2 Sc 0.000 0.000 0.914
Sc3 Sc 0.500 0.500 0.414
Sc4 Sc 0.500 0.500 0.586
Ta1 Ta 0.000 0.500 0.250
Ta2 Ta 0.000 0.500 0.750
Ta3 Ta 0.500 0.000 0.250
Ta4 Ta 0.500 0.000 0.750
Os1 Os 0.000 0.000 0.500
Os2 Os 0.500 0.500 0.000

(6)
# ScTaOs2 (PBE, relaxed)
# Formation enthalpy at 0 K ... -0.10 eV/atom
# Theoretical density ... 15.412 g cm⁻³
# Energy relative to the lowest polymorph listed for this composition ... 0.430 eV/atom
data_ScTaOs2
_cell_length_a 5.738
_cell_length_b 8.640
_cell_length_c 2.848
_cell_angle_alpha 90.00
_cell_angle_beta 112.27
_cell_angle_gamma 90.00
_symmetry_space_group_name_H-M 'P 1'
_symmetry_Int_Tables_number 1
loop_
_symmetry_equiv_pos_as_xyz
'x,y,z'
loop_
_atom_site_label
_atom_site_type_symbol
_atom_site_fract_x
_atom_site_fract_y
_atom_site_fract_z
Sc1 Sc 0.000 0.000 0.000
Sc2 Sc 0.500 0.500 0.000
Ta1 Ta 0.000 0.500 0.000
Ta2 Ta 0.500 0.000 0.000
Os1 Os 0.250 0.250 0.500
Os2 Os 0.250 0.750 0.500
Os3 Os 0.750 0.250 0.500
Os4 Os 0.750 0.750 0.500

(7)
# Sc2TaOs (PBE, relaxed)
# Formation enthalpy at 0 K ... 0.31 eV/atom
# Theoretical density ... 9.842 g cm⁻³
# Energy relative to the lowest polymorph listed for this composition ... 0.534 eV/atom
data_Sc2TaOs
_cell_length_a 2.981
_cell_length_b 2.981
_cell_length_c 30.333
_cell_angle_alpha 90.00
_cell_angle_beta 90.00
_cell_angle_gamma 120.00
_symmetry_space_group_name_H-M 'P 1'
_symmetry_Int_Tables_number 1
loop_
_symmetry_equiv_pos_as_xyz
'x,y,z'
loop_
_atom_site_label
_atom_site_type_symbol
_atom_site_fract_x
_atom_site_fract_y
_atom_site_fract_z
Sc1 Sc 0.000 0.000 0.097
Sc2 Sc 0.000 0.000 0.903
Sc3 Sc 0.333 0.667 0.569
Sc4 Sc 0.333 0.667 0.764
Sc5 Sc 0.667 0.333 0.236
Sc6 Sc 0.667 0.333 0.431
Ta1 Ta 0.000 0.000 0.000
Ta2 Ta 0.333 0.667 0.667
Ta3 Ta 0.667 0.333 0.333
Os1 Os 0.000 0.000 0.500
Os2 Os 0.333 0.667 0.167
Os3 Os 0.667 0.333 0.833

(8)
# ScTaOs2 (PBE, relaxed)
# Formation enthalpy at 0 K ... -0.06 eV/atom
# Theoretical density ... 15.410 g cm⁻³
# Energy relative to the lowest polymorph listed for this composition ... 0.474 eV/atom
data_ScTaOs2
_cell_length_a 3.178
_cell_length_b 4.313
_cell_length_c 4.767
_cell_angle_alpha 90.00
_cell_angle_beta 90.00
_cell_angle_gamma 90.00
_symmetry_space_group_name_H-M 'P 1'
_symmetry_Int_Tables_number 1
loop_
_symmetry_equiv_pos_as_xyz
'x,y,z'
loop_
_atom_site_label
_atom_site_type_symbol
_atom_site_fract_x
_atom_site_fract_y
_atom_site_fract_z
Sc1 Sc 0.000 0.000 0.000
Ta1 Ta 0.500 0.000 0.500
Os1 Os 0.000 0.500 0.500
Os2 Os 0.500 0.500 0.000

(9)
# ScTa3Os4 (PBE, relaxed)
# Formation enthalpy at 0 K ... -0.37 eV/atom
# Theoretical density ... 17.232 g cm⁻³
data_ScTa3Os4
_cell_length_a 3.131
_cell_length_b 4.561
_cell_length_c 9.101
_cell_angle_alpha 90.00
_cell_angle_beta 90.00
_cell_angle_gamma 90.00
_symmetry_space_group_name_H-M 'P 1'
_symmetry_Int_Tables_number 1
loop_
_symmetry_equiv_pos_as_xyz
'x,y,z'
loop_
_atom_site_label
_atom_site_type_symbol
_atom_site_fract_x
_atom_site_fract_y
_atom_site_fract_z
Sc1 Sc 0.000 0.000 0.000
Ta1 Ta 0.000 0.000 0.500
Ta2 Ta 0.000 0.500 0.248
Ta3 Ta 0.000 0.500 0.752
Os1 Os 0.500 0.000 0.255
Os2 Os 0.500 0.000 0.745
Os3 Os 0.500 0.500 0.000
Os4 Os 0.500 0.500 0.500

(10)
# ScTaOs2 (PBE, relaxed)
# Formation enthalpy at 0 K ... -0.51 eV/atom
# Theoretical density ... 15.354 g cm⁻³
# Energy relative to the lowest polymorph listed for this composition ... 0.018 eV/atom
data_ScTaOs2
_cell_length_a 3.191
_cell_length_b 3.191
_cell_length_c 6.441
_cell_angle_alpha 90.00
_cell_angle_beta 90.00
_cell_angle_gamma 90.00
_symmetry_space_group_name_H-M 'P 1'
_symmetry_Int_Tables_number 1
loop_
_symmetry_equiv_pos_as_xyz
'x,y,z'
loop_
_atom_site_label
_atom_site_type_symbol
_atom_site_fract_x
_atom_site_fract_y
_atom_site_fract_z
Sc1 Sc 0.000 0.000 0.000
Ta1 Ta 0.000 0.000 0.500
Os1 Os 0.500 0.500 0.260
Os2 Os 0.500 0.500 0.740

(11)
# Sc2TaOs (PBE, relaxed)
# Formation enthalpy at 0 K ... 0.10 eV/atom
# Theoretical density ... 10.248 g cm⁻³
# Energy relative to the lowest polymorph listed for this composition ... 0.329 eV/atom
data_Sc2TaOs
_cell_length_a 3.050
_cell_length_b 3.050
_cell_length_c 27.820
_cell_angle_alpha 90.00
_cell_angle_beta 90.00
_cell_angle_gamma 120.00
_symmetry_space_group_name_H-M 'P 1'
_symmetry_Int_Tables_number 1
loop_
_symmetry_equiv_pos_as_xyz
'x,y,z'
loop_
_atom_site_label
_atom_site_type_symbol
_atom_site_fract_x
_atom_site_fract_y
_atom_site_fract_z
Sc1 Sc 0.000 0.000 0.242
Sc2 Sc 0.000 0.000 0.758
Sc3 Sc 0.333 0.667 0.424
Sc4 Sc 0.333 0.667 0.909
Sc5 Sc 0.667 0.333 0.091
Sc6 Sc 0.667 0.333 0.576
Ta1 Ta 0.000 0.000 0.000
Ta2 Ta 0.333 0.667 0.667
Ta3 Ta 0.667 0.333 0.333
Os1 Os 0.000 0.000 0.500
Os2 Os 0.333 0.667 0.167
Os3 Os 0.667 0.333 0.833

(12)
# ScTa3Os (PBE, relaxed)
# Formation enthalpy at 0 K ... 0.90 eV/atom
# Theoretical density ... 11.115 g cm⁻³
# Energy relative to the lowest polymorph listed for this composition ... 0.000 eV/atom
data_ScTa3Os
_cell_length_a 4.880
_cell_length_b 4.880
_cell_length_c 4.880
_cell_angle_alpha 90.00
_cell_angle_beta 90.00
_cell_angle_gamma 90.00
_symmetry_space_group_name_H-M 'P 1'
_symmetry_Int_Tables_number 1
loop_
_symmetry_equiv_pos_as_xyz
'x,y,z'
loop_
_atom_site_label
_atom_site_type_symbol
_atom_site_fract_x
_atom_site_fract_y
_atom_site_fract_z
Sc1 Sc 0.000 0.000 0.000
Ta1 Ta 0.000 0.500 0.500
Ta2 Ta 0.500 0.000 0.500
Ta3 Ta 0.500 0.500 0.000
Os1 Os 0.500 0.500 0.500